Entry 1:
# PBE Ta2MoP, relaxed
# Energy of formation from the pure elements, eV/f.u.: -0.4
# Calculated total energy, eV/f.u.: -40.3
# Crystal system: orthorhombic
# M_tot, Bohr magnetons per cell: 0.0
data_Ta2MoP
_cell_length_a 3.3987
_cell_length_b 4.2484
_cell_length_c 4.4230
_cell_angle_alpha 90.00
_cell_angle_beta 90.00
_cell_angle_gamma 90.00
_space_group_name_H-M_alt 'P m m m'
_space_group_IT_number 47
loop_
_space_group_symop_operation_xyz
'x,y,z'
'-x,-y,-z'
'-x,-y,z'
'x,y,-z'
'x,-y,-z'
'-x,y,z'
'-x,y,-z'
'x,-y,z'
loop_
_atom_site_label
_atom_site_type_symbol
_atom_site_fract_x
_atom_site_fract_y
_atom_site_fract_z
_atom_site_occupancy
Ta1 Ta 0.0000 0.0000 0.0000 1
Ta2 Ta 0.5000 0.0000 0.5000 1
Mo1 Mo 0.0000 0.5000 0.5000 1
P1 P 0.5000 0.5000 0.0000 1


Entry 2:
# PBE TaMo4P, relaxed
# Energy of formation from the pure elements, eV/f.u.: 2.3
# Calculated total energy, eV/f.u.: -58.2
# Crystal system: cubic
# M_tot, Bohr magnetons per cell: 0.0
data_TaMo4P
_cell_length_a 7.3676
_cell_length_b 7.3676
_cell_length_c 7.3676
_cell_angle_alpha 90.00
_cell_angle_beta 90.00
_cell_angle_gamma 90.00
_space_group_name_H-M_alt 'F -4 3 m'
_space_group_IT_number 216
_space_group_name_Hall 'F -4 2 3'
loop_
_atom_site_label
_atom_site_type_symbol
_atom_site_fract_x
_atom_site_fract_y
_atom_site_fract_z
_atom_site_occupancy
Ta1 Ta 0.0000 0.0000 0.0000 1
Mo1 Mo 0.1246 0.1246 0.6246 1
P1 P 0.2500 0.2500 0.2500 1


Entry 3:
# PBE Ta2MoP, relaxed
# Energy of formation from the pure elements, eV/f.u.: -0.7
# Calculated total energy, eV/f.u.: -40.6
# Crystal system: orthorhombic
# M_tot, Bohr magnetons per cell: 0.0
data_Ta2MoP
_cell_length_a 5.5611
_cell_length_b 7.2515
_cell_length_c 3.2040
_cell_angle_alpha 90.00
_cell_angle_beta 90.00
_cell_angle_gamma 90.00
_space_group_name_H-M_alt 'C m m m'
_space_group_IT_number 65
_space_group_name_Hall '-C 2 2'
loop_
_atom_site_label
_atom_site_type_symbol
_atom_site_fract_x
_atom_site_fract_y
_atom_site_fract_z
_atom_site_occupancy
Ta1 Ta 0.2500 0.2500 0.0000 1
Mo1 Mo 0.0000 0.0000 0.5000 1
P1 P 0.0000 0.5000 0.5000 1